Arrangement a

VASP calculation (PBE) on a geometry-optimized H2PbW structure.

Summary:
**Calculated volume**: 51 Å³/f.u.

The structure in POSCAR format:
```
H2PbW
1.0
0.000 2.938 2.938
2.938 0.000 2.938
2.938 2.938 0.000
H Pb W
2 1 1
Direct
0.250 0.250 0.250
0.750 0.750 0.750
0.000 0.000 0.000
0.500 0.500 0.500
```


Arrangement b

VASP calculation (PBE) on a geometry-optimized H2PbW structure.

Summary:
**Calculated volume**: 50 Å³/f.u.

The structure in POSCAR format:
```
H2PbW
1.0
-2.959 2.959 2.832
2.959 -2.959 2.832
2.959 2.959 -2.832
H Pb W
4 2 2
Direct
0.020 0.625 0.895
0.375 0.270 0.395
0.730 0.125 0.105
0.875 0.980 0.605
0.250 0.750 0.500
0.500 0.500 0.000
0.000 0.000 0.000
0.750 0.250 0.500
```


Most stable: arrangement b. Least stable: arrangement a.


Arrangement a

VASP calculation (PBE) on a geometry-optimized Zn2HPb structure.

Summary:
**Calculated volume**: 73 Å³/f.u.

The structure in POSCAR format:
```
Zn2HPb
1.0
0.000 3.312 3.312
3.312 0.000 3.312
3.312 3.312 0.000
Zn H Pb
2 1 1
Direct
0.250 0.250 0.250
0.750 0.750 0.750
0.000 0.000 0.000
0.500 0.500 0.500
```


Arrangement b

VASP calculation (PBE) on a geometry-optimized Zn2HPb structure.

Summary:
**Calculated volume**: 71 Å³/f.u.

The structure in POSCAR format:
```
Zn2HPb
1.0
-2.446 2.446 5.952
2.446 -2.446 5.952
2.446 2.446 -5.952
Zn H Pb
4 2 2
Direct
0.375 0.158 0.283
0.842 0.125 0.217
0.875 0.092 0.717
0.908 0.625 0.783
0.000 0.000 0.000
0.750 0.250 0.500
0.250 0.750 0.500
0.500 0.500 0.000
```


Most stable: arrangement b. Least stable: arrangement a.


Arrangement a

VASP calculation (PBE) on a geometry-optimized ZnHPb structure.

Summary:
**Calculated volume**: 59 Å³/f.u.

The structure in POSCAR format:
```
ZnHPb
1.0
-1.906 1.906 4.069
1.906 -1.906 4.069
1.906 1.906 -4.069
Zn H Pb
1 1 1
Direct
0.000 0.000 0.000
0.205 0.205 0.000
0.669 0.669 0.000
```


Arrangement b

VASP calculation (PBE) on a geometry-optimized ZnHPb structure.

Summary:
**Calculated volume**: 53 Å³/f.u.

The structure in POSCAR format:
```
ZnHPb
1.0
3.299 0.000 0.000
0.113 5.185 0.000
0.135 0.090 6.233
Zn H Pb
2 2 2
Direct
0.004 0.230 0.091
0.996 0.770 0.909
0.498 0.320 0.146
0.502 0.680 0.854
0.196 0.246 0.624
0.804 0.754 0.376
```


Most stable: arrangement b. Least stable: arrangement a.


Arrangement a

VASP calculation (PBE) on a geometry-optimized Zr3HPb structure.

Summary:
**Calculated volume**: 94 Å³/f.u.

The structure in POSCAR format:
```
Zr3HPb
1.0
3.440 -5.258 0.000
3.440 5.258 0.000
0.000 0.000 5.201
Zr H Pb
6 2 2
Direct
0.136 0.864 0.750
0.170 0.373 0.753
0.373 0.170 0.247
0.627 0.830 0.747
0.830 0.627 0.253
0.864 0.136 0.250
0.108 0.108 0.500
0.892 0.892 0.000
0.333 0.667 0.250
0.667 0.333 0.750
```


Arrangement b

VASP calculation (PBE) on a geometry-optimized Zr3HPb structure.

Summary:
**Calculated volume**: 101 Å³/f.u.

The structure in POSCAR format:
```
Zr3HPb
1.0
5.665 0.000 0.000
0.000 9.090 0.000
0.000 0.000 7.852
Zr H Pb
12 4 4
Direct
0.006 0.099 0.135
0.006 0.401 0.135
0.242 0.750 0.235
0.258 0.250 0.735
0.494 0.599 0.635
0.494 0.901 0.635
0.506 0.099 0.365
0.506 0.401 0.365
0.742 0.750 0.265
0.758 0.250 0.765
0.994 0.599 0.865
0.994 0.901 0.865
0.025 0.250 0.946
0.475 0.750 0.446
0.525 0.250 0.554
0.975 0.750 0.054
0.000 0.000 0.500
0.000 0.500 0.500
0.500 0.000 0.000
0.500 0.500 0.000
```


Arrangement c

VASP calculation (PBE) on a geometry-optimized Zr3HPb structure.

Summary:
**Calculated volume**: 100 Å³/f.u.

The structure in POSCAR format:
```
Zr3HPb
1.0
3.371 0.000 0.000
-1.685 2.919 0.000
0.000 0.000 20.385
Zr H Pb
6 2 2
Direct
0.000 0.000 0.250
0.000 0.000 0.750
0.333 0.667 0.127
0.333 0.667 0.373
0.667 0.333 0.627
0.667 0.333 0.873
0.333 0.667 0.250
0.667 0.333 0.750
0.000 0.000 0.000
0.000 0.000 0.500
```


Most stable: arrangement a. Least stable: arrangement b.


Arrangement a

VASP calculation (PBE) on a geometry-optimized Zr3HPb structure.

Summary:
**Calculated volume**: 98 Å³/f.u.

The structure in POSCAR format:
```
Zr3HPb
1.0
7.864 0.000 0.000
0.000 6.015 0.000
-5.892 0.000 8.297
Zr H Pb
12 4 4
Direct
0.072 0.083 0.358
0.072 0.417 0.858
0.195 0.592 0.517
0.195 0.908 0.017
0.315 0.197 0.750
0.315 0.303 0.250
0.685 0.697 0.750
0.685 0.803 0.250
0.805 0.092 0.983
0.805 0.408 0.483
0.928 0.583 0.142
0.928 0.917 0.642
0.076 0.206 0.019
0.076 0.294 0.519
0.924 0.706 0.481
0.924 0.794 0.981
0.416 0.721 0.876
0.416 0.779 0.376
0.584 0.221 0.624
0.584 0.279 0.124
```


Arrangement b

VASP calculation (PBE) on a geometry-optimized Zr3HPb structure.

Summary:
**Calculated volume**: 100 Å³/f.u.

The structure in POSCAR format:
```
Zr3HPb
1.0
5.812 -1.600 0.000
5.812 1.600 0.000
-4.515 0.000 10.801
Zr H Pb
6 2 2
Direct
0.092 0.092 0.390
0.112 0.112 0.123
0.368 0.368 0.106
0.632 0.632 0.894
0.888 0.888 0.877
0.908 0.908 0.610
0.021 0.021 0.796
0.979 0.979 0.204
0.347 0.347 0.366
0.653 0.653 0.634
```


Arrangement c

VASP calculation (PBE) on a geometry-optimized Zr3HPb structure.

Summary:
**Calculated volume**: 100 Å³/f.u.

The structure in POSCAR format:
```
Zr3HPb
1.0
8.958 -1.675 0.000
8.958 1.675 0.000
-0.373 0.000 6.645
Zr H Pb
6 2 2
Direct
0.008 0.008 0.235
0.235 0.235 0.284
0.387 0.387 0.481
0.613 0.613 0.519
0.765 0.765 0.716
0.992 0.992 0.765
0.119 0.119 0.351
0.881 0.881 0.649
0.375 0.375 0.015
0.625 0.625 0.985
```


Most stable: arrangement a. Least stable: arrangement c.


Arrangement a

VASP calculation (PBE) on a geometry-optimized Zr3H3Pb structure.

Summary:
**Calculated volume**: 99 Å³/f.u.

The structure in POSCAR format:
```
Zr3H3Pb
1.0
5.832 0.000 0.000
0.000 5.832 0.000
0.000 0.000 5.832
Zr H Pb
6 6 2
Direct
0.000 0.250 0.500
0.000 0.750 0.500
0.250 0.500 0.000
0.500 0.000 0.250
0.500 0.000 0.750
0.750 0.500 0.000
0.000 0.500 0.250
0.000 0.500 0.750
0.250 0.000 0.500
0.500 0.250 0.000
0.500 0.750 0.000
0.750 0.000 0.500
0.000 0.000 0.000
0.500 0.500 0.500
```


Arrangement b

VASP calculation (PBE) on a geometry-optimized Zr3H3Pb structure.

Summary:
**Calculated volume**: 109 Å³/f.u.

The structure in POSCAR format:
```
Zr3H3Pb
1.0
2.845 1.643 7.798
-2.845 1.643 7.798
0.000 -3.286 7.798
Zr H Pb
6 6 2
Direct
0.066 0.725 0.398
0.275 0.602 0.934
0.398 0.066 0.725
0.602 0.934 0.275
0.725 0.398 0.066
0.934 0.275 0.602
0.027 0.357 0.695
0.305 0.973 0.643
0.357 0.695 0.027
0.643 0.305 0.973
0.695 0.027 0.357
0.973 0.643 0.305
0.166 0.166 0.166
0.834 0.834 0.834
```


Most stable: arrangement a. Least stable: arrangement b.


Arrangement a

VASP calculation (PBE) on a geometry-optimized Zr6HPb2 structure.

Summary:
**Calculated volume**: 192 Å³/f.u.

The structure in POSCAR format:
```
Zr6HPb2
1.0
6.056 0.000 0.000
0.000 6.640 0.000
-6.036 0.000 9.568
Zr H Pb
12 2 4
Direct
0.098 0.226 0.477
0.098 0.274 0.977
0.353 0.706 0.478
0.353 0.794 0.978
0.383 0.005 0.252
0.383 0.495 0.752
0.617 0.505 0.248
0.617 0.995 0.748
0.647 0.206 0.022
0.647 0.294 0.522
0.902 0.726 0.023
0.902 0.774 0.523
0.500 0.000 0.500
0.500 0.500 0.000
0.137 0.089 0.746
0.137 0.411 0.246
0.863 0.589 0.754
0.863 0.911 0.254
```


Arrangement b

VASP calculation (PBE) on a geometry-optimized Zr6HPb2 structure.

Summary:
**Calculated volume**: 185 Å³/f.u.

The structure in POSCAR format:
```
Zr6HPb2
1.0
-3.147 3.147 4.664
3.147 -3.147 4.664
3.147 3.147 -4.664
Zr H Pb
6 1 2
Direct
0.248 0.248 0.496
0.248 0.752 0.000
0.250 0.250 0.000
0.750 0.750 0.000
0.752 0.248 0.000
0.752 0.752 0.504
0.500 0.500 0.000
0.250 0.750 0.500
0.750 0.250 0.500
```


Most stable: arrangement b. Least stable: arrangement a.


Arrangement a

VASP calculation (PBE) on a geometry-optimized H4Pd3 structure.

Summary:
**Calculated volume**: 60 Å³/f.u.

The structure in POSCAR format:
```
H4Pd3
1.0
4.867 -1.476 0.000
4.867 1.476 0.000
-1.966 0.000 4.192
H Pd
4 3
Direct
0.110 0.110 0.474
0.352 0.352 0.081
0.648 0.648 0.919
0.890 0.890 0.526
0.169 0.169 0.169
0.500 0.500 0.500
0.831 0.831 0.831
```


Arrangement b

VASP calculation (PBE) on a geometry-optimized H4Pd3 structure.

Summary:
**Calculated volume**: 61 Å³/f.u.

The structure in POSCAR format:
```
H4Pd3
1.0
2.963 0.000 0.000
0.000 2.963 0.000
0.000 0.000 6.998
H Pd
4 3
Direct
0.000 0.500 0.000
0.000 0.500 0.414
0.500 0.000 0.000
0.500 0.000 0.414
0.000 0.000 0.249
0.000 0.000 0.857
0.500 0.500 0.569
```


Most stable: arrangement a. Least stable: arrangement b.